Entry 1:
Entry from Alexandria: crystalline SbW2I2 at its relaxed geometry (PBE-GGA).

As for the total energy: -5.368 eV per atom. For the offset from the most stable computed form, the calculation gives 0.000 eV/atom. Its uncorrected formation energy is 121 kJ/mol of atoms. Its calculated density is 9.7 Mg/m³. The value obtained for the total moment is 1.21 Bohr magnetons per cell.

The structure belongs to space group I4/mmm (No. 139); the cell edges are 4.806, 4.806 and 11.013 Å and the angles 90.00°, 90.00° and 90.00°. The inequivalent atoms are Sb at (0.000, 0.000, 0.000), W at (0.000, 0.000, 0.395) and I at (0.000, 0.500, 0.250).

---

Entry 2:
Entry from Alexandria: crystalline YSbWI2 at its relaxed geometry (PBE-GGA).

As for the total energy: -4.711 eV per atom. For the offset from the most stable computed form, the calculation gives 0.000 eV/atom. Its uncorrected formation energy is 60 kJ/mol of atoms. Its calculated density is 6.7 Mg/m³. The value obtained for the total moment is 2.14 Bohr magnetons per cell.

The structure belongs to space group P4/mmm (No. 123); the cell edges are 5.460, 5.460 and 5.380 Å and the angles 90.00°, 90.00° and 90.00°. The inequivalent atoms are Y at (0.000, 0.000, 0.000), Sb at (0.500, 0.500, 0.000), W at (0.500, 0.500, 0.500) and I at (0.000, 0.500, 0.500).

---

Entry 3:
Entry from Alexandria: crystalline YSb2WI at its relaxed geometry (PBE-GGA).

As for the total energy: -5.326 eV per atom. For the offset from the most stable computed form, the calculation gives 0.000 eV/atom. Its uncorrected formation energy is 50 kJ/mol of atoms. Its calculated density is 6.9 Mg/m³. The value obtained for the total moment is 0.55 Bohr magnetons per cell.

The structure belongs to space group P4/mmm (No. 123); the cell edges are 5.206, 5.206 and 5.719 Å and the angles 90.00°, 90.00° and 90.00°. The inequivalent atoms are Y at (0.000, 0.000, 0.000), Sb at (0.000, 0.500, 0.500), W at (0.500, 0.500, 0.500) and I at (0.500, 0.500, 0.000).

---

Entry 4:
Entry from Alexandria: crystalline YSbWI2 at its relaxed geometry (PBE-GGA).

As for the total energy: -4.407 eV per atom. For the offset from the most stable computed form, the calculation gives 0.304 eV/atom. Its uncorrected formation energy is 89 kJ/mol of atoms. Its calculated density is 5.2 Mg/m³. The value obtained for the total moment is 4.02 Bohr magnetons per cell.

The structure belongs to space group P4/mmm (No. 123); the cell edges are 5.788, 5.788 and 6.215 Å and the angles 90.00°, 90.00° and 90.00°. The inequivalent atoms are Y at (0.000, 0.000, 0.000), Sb at (0.000, 0.000, 0.500), W at (0.500, 0.500, 0.500) and I at (0.000, 0.500, 0.000).

---

Entry 5:
Entry from Alexandria: crystalline YSb2WI at its relaxed geometry (PBE-GGA).

As for the total energy: -4.274 eV per atom. For the offset from the most stable computed form, the calculation gives 1.052 eV/atom. Its uncorrected formation energy is 151 kJ/mol of atoms. Its calculated density is 5.6 Mg/m³. The value obtained for the total moment is 0.10 Bohr magnetons per cell.

The structure belongs to space group P4/mmm (No. 123); the cell edges are 5.809, 5.809 and 5.614 Å and the angles 90.00°, 90.00° and 90.00°. The inequivalent atoms are Y at (0.000, 0.000, 0.000), Sb at (0.000, 0.500, 0.000), W at (0.500, 0.500, 0.500) and I at (0.000, 0.000, 0.500).

---

Entry 6:
Entry from Alexandria: crystalline ZnSbWI2 at its relaxed geometry (PBE-GGA).

As for the total energy: -3.077 eV per atom. For the offset from the most stable computed form, the calculation gives 0.490 eV/atom. Its uncorrected formation energy is 117 kJ/mol of atoms. Its calculated density is 5.0 Mg/m³. The value obtained for the total moment is 4.62 Bohr magnetons per cell.

The structure belongs to space group P4/mmm (No. 123); the cell edges are 6.130, 6.130 and 5.475 Å and the angles 90.00°, 90.00° and 90.00°. The inequivalent atoms are Zn at (0.000, 0.000, 0.000), Sb at (0.500, 0.500, 0.500), W at (0.500, 0.500, 0.000) and I at (0.000, 0.500, 0.500).

---

Entry 7:
Entry from Alexandria: crystalline ZnSbWI2 at its relaxed geometry (PBE-GGA).

As for the total energy: -2.870 eV per atom. For the offset from the most stable computed form, the calculation gives 0.697 eV/atom. Its uncorrected formation energy is 137 kJ/mol of atoms. Its calculated density is 6.6 Mg/m³. The value obtained for the total moment is 3.72 Bohr magnetons per cell.

The structure belongs to space group P4/mmm (No. 123); the cell edges are 5.387, 5.387 and 5.383 Å and the angles 90.00°, 90.00° and 90.00°. The inequivalent atoms are Zn at (0.000, 0.000, 0.000), Sb at (0.000, 0.000, 0.500), W at (0.500, 0.500, 0.500) and I at (0.000, 0.500, 0.000).

---

Entry 8:
Entry from Alexandria: crystalline ZnSbWI2 at its relaxed geometry (PBE-GGA).

As for the total energy: -3.568 eV per atom. For the offset from the most stable computed form, the calculation gives 0.000 eV/atom. Its uncorrected formation energy is 70 kJ/mol of atoms. Its calculated density is 6.3 Mg/m³. The value obtained for the total moment is 0.74 Bohr magnetons per cell.

The structure belongs to space group P4/mmm (No. 123); the cell edges are 5.620, 5.620 and 5.255 Å and the angles 90.00°, 90.00° and 90.00°. The inequivalent atoms are Zn at (0.000, 0.000, 0.000), Sb at (0.500, 0.500, 0.000), W at (0.500, 0.500, 0.500) and I at (0.000, 0.500, 0.500).

---

Entry 9:
Entry from Alexandria: crystalline ZrSbWI2 at its relaxed geometry (PBE-GGA).

As for the total energy: -4.583 eV per atom. For the offset from the most stable computed form, the calculation gives 0.000 eV/atom. Its uncorrected formation energy is 112 kJ/mol of atoms. Its calculated density is 6.0 Mg/m³. The value obtained for the total moment is 4.77 Bohr magnetons per cell.

The structure belongs to space group P4/mmm (No. 123); the cell edges are 5.560, 5.560 and 5.836 Å and the angles 90.00°, 90.00° and 90.00°. The inequivalent atoms are Zr at (0.000, 0.000, 0.000), Sb at (0.000, 0.000, 0.500), W at (0.500, 0.500, 0.500) and I at (0.000, 0.500, 0.000).

---

Entry 10:
Entry from Alexandria: crystalline ZrSb2WI at its relaxed geometry (PBE-GGA).

As for the total energy: -5.190 eV per atom. For the offset from the most stable computed form, the calculation gives 0.000 eV/atom. Its uncorrected formation energy is 103 kJ/mol of atoms. Its calculated density is 7.2 Mg/m³. The value obtained for the total moment is 0.01 Bohr magnetons per cell.

The structure belongs to space group P4/mmm (No. 123); the cell edges are 5.182, 5.182 and 5.542 Å and the angles 90.00°, 90.00° and 90.00°. The inequivalent atoms are Zr at (0.000, 0.000, 0.000), Sb at (0.000, 0.500, 0.500), W at (0.500, 0.500, 0.500) and I at (0.500, 0.500, 0.000).

---

Entry 11:
Entry from Alexandria: crystalline Y7SbI12 at its relaxed geometry (PBE-GGA).

As for the total energy: -4.635 eV per atom. Its uncorrected formation energy is -119 kJ/mol of atoms. Its calculated density is 4.9 Mg/m³. The value obtained for the total moment is 0.00 Bohr magnetons per cell.

The structure belongs to space group R-3 (No. 148, hexagonal axes); the cell edges are 15.9137, 15.9137 and 10.4368 Å and the angles 90.00°, 90.00° and 120.00°. The inequivalent atoms are Y at (0.0000, 0.0000, 0.0000), Y at (0.0475, 0.8805, 0.3436), Sb at (0.0000, 0.0000, 0.5000), I at (0.0230, 0.4366, 0.1645) and I at (0.0515, 0.8695, 0.8388).

---

Entry 12:
Entry from Alexandria: crystalline Y2SbI at its relaxed geometry (PBE-GGA).

As for the total energy: -5.103 eV per atom. Its uncorrected formation energy is -44 kJ/mol of atoms. Its calculated density is 4.3 Mg/m³. The value obtained for the total moment is 0.00 Bohr magnetons per cell.

The structure belongs to space group I-42d (No. 122); the cell edges are 6.898, 6.898 and 13.858 Å and the angles 90.00°, 90.00° and 90.00°. The inequivalent atoms are Y at (0.233, 0.250, 0.125), Sb at (0.000, 0.000, 0.000) and I at (0.000, 0.000, 0.500).

---

Entry 13:
Entry from Alexandria: crystalline YSb2I at its relaxed geometry (PBE-GGA).

As for the total energy: -4.043 eV per atom. For the offset from the most stable computed form, the calculation gives 0.392 eV/atom. Its uncorrected formation energy is 2 kJ/mol of atoms. Its calculated density is 6.4 Mg/m³. The value obtained for the total moment is 0.00 Bohr magnetons per cell.

The structure belongs to space group Fm-3m (No. 225); the cell edges are 7.806, 7.806 and 7.806 Å and the angles 90.00°, 90.00° and 90.00°. The inequivalent atoms are Y at (0.000, 0.000, 0.000), Sb at (0.250, 0.250, 0.250) and I at (0.000, 0.000, 0.500).